Below is a geometry-optimized BeCrBi2O6 structure, with properties calculated at the GGA+U level.

Crystal system: triclinic
Space-group type: P1 (1)
E_tot: -0.2358 hartree per atom

a = 5.365 Å, b = 5.413 Å, c = 6.039 Å
α = 62.17°, β = 63.20°, γ = 60.90°
Site moments in Bohr magnetons follow the coordinates.
Element x y z (fractional)
O 0.024 0.571 0.264  -0.02
O 0.583 0.145 0.244  -0.01
O 0.128 0.023 0.268  -0.05
O 0.083 0.516 0.722  -0.06
O 0.511 0.703 0.698  -0.10
O 0.688 0.087 0.721  -0.02
Bi 0.537 0.519 0.419  0.01
Bi 0.017 0.027 0.917  0.02
Cr 0.835 0.819 0.528  2.22
Be 0.255 0.253 0.234  0.00